The following is a PBEsol calculation of ReIr5 after structural relaxation, from Alexandria.

abc: 2.711 2.711 11.527
angles: 90.00 90.00 90.00
Fractional coordinates of all 6 atoms:
Re  0.000  0.000  0.000
Ir  0.000  0.000  0.336
Ir  0.000  0.000  0.664
Ir  0.500  0.500  0.164
Ir  0.500  0.500  0.500
Ir  0.500  0.500  0.836

Properties
DFT formation energy = -0.072 eV per atom
Raw total energy = -62.88 eV for the cell shown
ΔE to the lowest computed polymorph = 32 meV/atom
SG = P4/mmm, No. 123

The following is a PBEsol calculation of ReIr after structural relaxation, from Alexandria.

abc: 2.739 2.739 4.373
angles: 90.00 90.00 120.00
Fractional coordinates of all 2 atoms:
Re  0.000  0.000  0.000
Ir  0.667  0.333  0.500

Properties
DFT formation energy = -0.199 eV per atom
Raw total energy = -23.55 eV for the cell shown
ΔE to the lowest computed polymorph = 94 meV/atom
SG = P-6m2, No. 187

The following is a PBEsol calculation of ReIr4 after structural relaxation, from Alexandria.

abc: 6.069 6.069 3.834
angles: 90.00 90.00 90.00
Fractional coordinates of all 10 atoms:
Re  0.000  0.000  0.000
Re  0.500  0.500  0.500
Ir  0.104  0.704  0.500
Ir  0.204  0.396  0.000
Ir  0.296  0.104  0.500
Ir  0.396  0.796  0.000
Ir  0.604  0.204  0.000
Ir  0.704  0.896  0.500
Ir  0.796  0.604  0.000
Ir  0.896  0.296  0.500

Properties
DFT formation energy = -0.101 eV per atom
Raw total energy = -106.26 eV for the cell shown
SG = I4/m, No. 87

The following is a PBEsol calculation of ReIr5 after structural relaxation, from Alexandria.

abc: 3.835 11.488 3.845
angles: 90.00 90.00 90.00
Fractional coordinates of all 12 atoms:
Re  0.000  0.000  0.000
Re  0.500  0.500  0.000
Ir  0.000  0.166  0.500
Ir  0.000  0.339  0.000
Ir  0.000  0.500  0.500
Ir  0.000  0.661  0.000
Ir  0.000  0.834  0.500
Ir  0.500  0.000  0.500
Ir  0.500  0.161  0.000
Ir  0.500  0.334  0.500
Ir  0.500  0.666  0.500
Ir  0.500  0.839  0.000

Properties
DFT formation energy = -0.105 eV per atom
Raw total energy = -126.15 eV for the cell shown
ΔE to the lowest computed polymorph = 0 meV/atom
SG = Cmmm, No. 65